{"formula": "YEr3Tm6Th2", "functional": "PBE", "state": "optimized geometry", "lattice_angstrom": [[6.099, 0.002, -0.003], [-3.046, 5.284, -0.003], [-1.012, -1.752, 11.446]], "species": ["Tm", "Tm", "Er", "Tm", "Er", "Th", "Er", "Th", "Tm", "Tm", "Y", "Tm"], "frac_coords": [[0.084, 0.421, 0.250], [0.579, 0.916, 0.750], [0.166, 0.834, 0.500], [0.421, 0.084, 0.250], [0.500, 0.500, 0.500], [0.333, 0.667, 0.000], [0.834, 0.166, 0.500], [0.667, 0.333, 0.000], [0.916, 0.579, 0.750], [0.254, 0.254, 0.750], [0.000, 0.000, 0.000], [0.746, 0.746, 0.250]], "space_group": "C2/m, No. 12", "energy_ev_per_cell": -61.5, "delta_e_f_ev_per_atom": 0.03}



{"formula": "LiMn2NiSe4", "functional": "PBE", "state": "optimized geometry", "lattice_angstrom": [[6.611, 0.000, 0.000], [0.000, 6.933, 0.000], [0.000, 0.000, 8.056]], "species": ["Li", "Mn", "Se", "Se", "Se", "Ni", "Se", "Se", "Mn", "Se", "Se", "Ni", "Se", "Li", "Mn", "Mn"], "frac_coords": [[0.003, 0.162, 0.500], [0.500, 0.334, 0.750], [0.873, 0.333, 0.765], [0.855, 0.818, 0.500], [0.873, 0.333, 0.235], [0.999, 0.171, 0.000], [0.396, 0.153, 0.500], [0.373, 0.667, 0.735], [0.000, 0.666, 0.750], [0.373, 0.667, 0.265], [0.355, 0.182, 0.000], [0.499, 0.829, 0.500], [0.896, 0.847, 0.000], [0.503, 0.838, 0.000], [0.500, 0.334, 0.250], [0.000, 0.666, 0.250]], "space_group": "Pmn2_1, No. 31", "energy_ev_per_cell": -87.6, "e_form_raw_kj_per_mol_fu": -369.7}



{"formula": "Sr6Li5Cd", "functional": "PBE", "state": "optimized geometry", "lattice_angstrom": [[5.792, 0.002, -1.203], [-0.004, 8.391, -0.001], [-1.070, 0.001, 9.300]], "species": ["Sr", "Li", "Sr", "Sr", "Cd", "Sr", "Li", "Li", "Li", "Sr", "Sr", "Li"], "frac_coords": [[0.838, 0.755, 0.674], [0.666, 0.500, 0.335], [0.162, 0.755, 0.326], [0.162, 0.245, 0.326], [0.000, 0.000, 0.000], [0.500, 0.242, 0.000], [0.332, 0.000, 0.662], [0.000, 0.500, 0.000], [0.334, 0.500, 0.665], [0.838, 0.245, 0.674], [0.500, 0.758, 0.000], [0.668, 0.000, 0.338]], "space_group": "P2/m, No. 10", "energy_ev_per_cell": -21.0, "delta_e_f_ev_per_atom": -0.04}



{"formula": "SnCS2N", "functional": "PBE", "state": "optimized geometry", "lattice_angstrom": [[5.875, 0.000, 0.000], [0.000, 5.875, 0.000], [0.000, 0.000, 2.519]], "species": ["S", "Sn", "N", "S", "C"], "frac_coords": [[0.500, 0.000, 0.000], [0.500, 0.500, 0.500], [0.000, 0.000, 0.500], [0.000, 0.500, 0.000], [0.000, 0.000, 0.000]], "space_group": "P4/mmm, No. 123", "energy_ev_per_cell": -25.8, "e_form_raw_kj_per_mol_fu": 388.3, "de_polymorph_kcal_per_mol_atoms": 0.00}